--- 1 ---
{
  "formula": "In2RhSe2",
  "functional": "PBE",
  "state": "optimized geometry",
  "crystal_system": "tetragonal",
  "spacegroup": "No. 127",
  "lattice": [[7.3895, 0.0000, 0.0000], [0.0000, 7.3895, 0.0000], [0.0000, 0.0000, 4.0040]],
  "species": ["In", "In", "In", "In", "Se", "Se", "Se", "Se", "Rh", "Rh"],
  "fractional_positions": [[0.8500, 0.6500, 0.0000], [0.1500, 0.3500, 0.0000], [0.3500, 0.8500, 0.0000], [0.6500, 0.1500, 0.0000], [0.8323, 0.3323, 0.5000], [0.6677, 0.8323, 0.5000], [0.1677, 0.6677, 0.5000], [0.3323, 0.1677, 0.5000], [0.0000, 0.0000, 0.0000], [0.5000, 0.5000, 0.0000]]
}



--- 2 ---
{
  "formula": "In2RhSe2",
  "functional": "PBE",
  "state": "optimized geometry",
  "crystal_system": "monoclinic",
  "spacegroup": "No. 15",
  "lattice": [[-0.7575, -2.1323, -3.7698], [3.8032, 1.4616, -1.6526], [5.6846, -9.8567, 4.4865]],
  "species": ["Se", "Se", "Se", "Se", "Rh", "Rh", "In", "In", "In", "In"],
  "fractional_positions": [[0.1396, 0.4017, 0.3883], [0.6517, 0.8896, 0.8883], [0.1104, 0.3483, 0.1117], [0.5983, 0.8604, 0.6117], [0.6324, 0.3676, 0.5000], [0.6176, 0.3824, 0.0000], [0.7221, 0.8807, 0.3620], [0.1193, 0.2779, 0.6380], [0.1307, 0.4721, 0.8620], [0.5279, 0.8693, 0.1380]]
}



--- 3 ---
{
  "formula": "In2RhSe2",
  "functional": "PBE",
  "state": "optimized geometry",
  "crystal_system": "tetragonal",
  "spacegroup": "No. 139",
  "lattice": [[-1.4469, -0.4751, 3.2839], [1.8759, -3.0722, 0.3821], [6.8500, 2.7226, 5.4071]],
  "species": ["Se", "Se", "Rh", "In", "In"],
  "fractional_positions": [[0.2500, 0.7500, 0.5000], [0.7500, 0.2500, 0.5000], [0.0000, 0.0000, 0.0000], [0.4164, 0.4164, 0.1672], [0.5836, 0.5836, 0.8328]]
}



Most stable structure, least stable structure: 2, 1.